Entry 1:
Ni2Hg: relaxed, PBE.

Cell lengths 3.3666, 3.3666, 4.2446 Å; angles 90.00, 90.00, 90.00 degrees
Sites, in units of the cell vectors:
Ni 0.0000 0.5000 0.0000
Ni 0.5000 0.0000 0.0000
Hg 0.0000 0.0000 0.5000

Results
Formation energy: 0.386 eV per atom
Total magnetic moment: 0.3 μB per formula unit
Density of states at the Fermi level: 4.7 states/eV/f.u.
Calculated volume: 48.1 Å³ per cell

=====

Entry 2:
NiHg: relaxed, PBE.

Cell lengths 8.9883, 8.9883, 8.9883 Å; angles 19.21, 19.21, 19.21 degrees
Sites, in units of the cell vectors:
Ni 0.1353 0.1353 0.1353
Ni 0.8647 0.8647 0.8647
Hg 0.3872 0.3872 0.3872
Hg 0.6128 0.6128 0.6128

Results
Formation energy: 0.380 eV per atom
Total magnetic moment: 0.5 μB per formula unit
Density of states at the Fermi level: 2.3 states/eV/f.u.
Calculated volume: 68.7 Å³ per cell

=====

Entry 3:
Ni3Hg: relaxed, PBE.

Cell lengths 2.7732, 2.7732, 8.3220 Å; angles 90.00, 90.00, 120.00 degrees
Sites, in units of the cell vectors:
Ni 0.0000 0.0000 0.0000
Ni 0.3333 0.6667 0.2220
Ni 0.3333 0.6667 0.7780
Hg 0.0000 0.0000 0.5000

Results
Formation energy: 0.373 eV per atom
Total magnetic moment: 1.7 μB per formula unit
Density of states at the Fermi level: 7.3 states/eV/f.u.
Calculated volume: 55.4 Å³ per cell

=====

Entry 4:
NiHg3: relaxed, PBE.

Cell lengths 3.0603, 3.0603, 8.7412 Å; angles 90.00, 90.00, 90.00 degrees
Sites, in units of the cell vectors:
Ni 0.0000 0.0000 0.0000
Hg 0.0000 0.0000 0.5000
Hg 0.5000 0.5000 0.1961
Hg 0.5000 0.5000 0.8039

Results
Formation energy: 0.199 eV per atom
Total magnetic moment: 0.0 μB per formula unit
Density of states at the Fermi level: 1.7 states/eV/f.u.
Calculated volume: 81.9 Å³ per cell

=====

Entry 5:
NiHg3: relaxed, PBE.

Cell lengths 5.4880, 5.4880, 5.4880 Å; angles 90.00, 90.00, 90.00 degrees
Sites, in units of the cell vectors:
Ni 0.0000 0.0000 0.0000
Ni 0.5000 0.5000 0.5000
Hg 0.0000 0.2500 0.5000
Hg 0.0000 0.7500 0.5000
Hg 0.2500 0.5000 0.0000
Hg 0.5000 0.0000 0.2500
Hg 0.5000 0.0000 0.7500
Hg 0.7500 0.5000 0.0000

Results
Formation energy: 0.403 eV per atom
Total magnetic moment: 0.4 μB per formula unit
Density of states at the Fermi level: 3.3 states/eV/f.u.
Calculated volume: 165.3 Å³ per cell

=====

Entry 6:
NiHg: relaxed, PBE.

Cell lengths 4.0891, 8.5103, 6.4079 Å; angles 90.00, 90.00, 90.00 degrees
Sites, in units of the cell vectors:
Ni 0.2500 0.0420 0.0828
Ni 0.2500 0.2500 0.3344
Ni 0.2500 0.4580 0.0828
Ni 0.7500 0.5420 0.9172
Ni 0.7500 0.7500 0.6656
Ni 0.7500 0.9580 0.9172
Hg 0.2500 0.0656 0.6595
Hg 0.2500 0.4344 0.6595
Hg 0.2500 0.7500 0.9356
Hg 0.7500 0.2500 0.0644
Hg 0.7500 0.5656 0.3405
Hg 0.7500 0.9344 0.3405

Results
Formation energy: 0.304 eV per atom
Total magnetic moment: 0.0 μB per formula unit
Density of states at the Fermi level: 2.2 states/eV/f.u.
Calculated volume: 223.0 Å³ per cell

=====

Entry 7:
Ni2Hg: relaxed, PBE.

Cell lengths 5.0329, 5.0329, 5.0329 Å; angles 145.66, 143.66, 50.86 degrees
Sites, in units of the cell vectors:
Ni 0.1866 0.1866 0.0000
Ni 0.8134 0.8134 0.0000
Hg 0.5000 0.5000 0.0000

Results
Formation energy: 0.227 eV per atom
Total magnetic moment: 0.5 μB per formula unit
Density of states at the Fermi level: 3.9 states/eV/f.u.
Calculated volume: 42.4 Å³ per cell

=====

Entry 8:
Ni2Hg: relaxed, PBE.

Cell lengths 7.7820, 7.7820, 7.7820 Å; angles 153.48, 153.48, 37.86 degrees
Sites, in units of the cell vectors:
Ni 0.2978 0.5478 0.7500
Ni 0.4522 0.7022 0.7500
Ni 0.5478 0.2978 0.2500
Ni 0.7022 0.4522 0.2500
Hg 0.1250 0.8750 0.2500
Hg 0.8750 0.1250 0.7500

Results
Formation energy: 0.442 eV per atom
Total magnetic moment: 0.9 μB per formula unit
Density of states at the Fermi level: 3.4 states/eV/f.u.
Calculated volume: 93.8 Å³ per cell

=====

Entry 9:
Ni3Hg: relaxed, PBE.

Cell lengths 4.2246, 4.2246, 4.2246 Å; angles 60.00, 60.00, 60.00 degrees
Sites, in units of the cell vectors:
Ni 0.0000 0.0000 0.0000
Ni 0.2500 0.2500 0.2500
Ni 0.7500 0.7500 0.7500
Hg 0.5000 0.5000 0.5000

Results
Formation energy: 0.258 eV per atom
Total magnetic moment: 0.8 μB per formula unit
Density of states at the Fermi level: 6.1 states/eV/f.u.
Calculated volume: 53.3 Å³ per cell

=====

Entry 10:
NiHg: relaxed, PBE.

Cell lengths 4.5937, 7.2087, 7.2087 Å; angles 24.47, 90.00, 90.00 degrees
Sites, in units of the cell vectors:
Ni 0.0000 0.0000 0.0000
Ni 0.0000 0.3526 0.3526
Ni 0.5000 0.7929 0.7929
Hg 0.0000 0.6970 0.6970
Hg 0.5000 0.1240 0.1240
Hg 0.5000 0.4454 0.4454

Results
Formation energy: 0.359 eV per atom
Total magnetic moment: 0.0 μB per formula unit
Density of states at the Fermi level: 2.1 states/eV/f.u.
Calculated volume: 98.9 Å³ per cell

=====

Entry 11:
NiHg3: relaxed, PBE.

Cell lengths 6.8210, 6.8210, 4.1332 Å; angles 90.00, 90.00, 120.00 degrees
Sites, in units of the cell vectors:
Ni 0.3333 0.6667 0.2500
Ni 0.6667 0.3333 0.7500
Hg 0.1816 0.3633 0.7500
Hg 0.1816 0.8184 0.7500
Hg 0.3633 0.1816 0.2500
Hg 0.6367 0.8184 0.7500
Hg 0.8184 0.1816 0.2500
Hg 0.8184 0.6367 0.2500

Results
Formation energy: 0.294 eV per atom
Total magnetic moment: 0.0 μB per formula unit
Density of states at the Fermi level: 1.9 states/eV/f.u.
Calculated volume: 166.5 Å³ per cell

=====

Entry 12:
Ni2Hg: relaxed, PBE.

Cell lengths 7.3882, 7.3882, 2.7593 Å; angles 90.00, 90.00, 120.00 degrees
Sites, in units of the cell vectors:
Ni 0.0000 0.3065 0.0000
Ni 0.0000 0.6395 0.5000
Ni 0.3065 0.0000 0.0000
Ni 0.3605 0.3605 0.5000
Ni 0.6395 0.0000 0.5000
Ni 0.6935 0.6935 0.0000
Hg 0.0000 0.0000 0.5000
Hg 0.3333 0.6667 0.0000
Hg 0.6667 0.3333 0.0000

Results
Formation energy: 0.364 eV per atom
Total magnetic moment: 0.2 μB per formula unit
Density of states at the Fermi level: 6.2 states/eV/f.u.
Calculated volume: 130.4 Å³ per cell